(1)
A plane-wave DFT calculation with PBE was carried out for crystalline HoAl3Ag3 at its relaxed geometry.

Unit cell a=8.704 b=8.704 c=8.704 alpha=60.00 beta=60.00 gamma=60.00
Sites, in units of the cell vectors:
Ho1 0.250 0.250 0.250
Ho2 0.750 0.750 0.750
Al1 0.151 0.151 0.849
Al2 0.151 0.849 0.151
Al3 0.151 0.849 0.849
Al4 0.849 0.151 0.151
Al5 0.849 0.151 0.849
Al6 0.849 0.849 0.151
Ag1 0.342 0.342 0.658
Ag2 0.342 0.658 0.342
Ag3 0.342 0.658 0.658
Ag4 0.658 0.342 0.342
Ag5 0.658 0.342 0.658
Ag6 0.658 0.658 0.342

distance to the lowest polymorph of the same formula = 881 meV/atom
total DFT energy (no corrections) = -2.69 eV/atom
formation enthalpy at 0 K = 533 kJ/mol of formula units

=====

(2)
A plane-wave DFT calculation with PBE was carried out for crystalline LiSm2ScTl4 at its relaxed geometry.

Unit cell a=9.265 b=9.265 c=9.265 alpha=32.79 beta=32.79 gamma=32.79
Sites, in units of the cell vectors:
Li1 0.000 0.000 0.000
Sm1 0.254 0.254 0.254
Sm2 0.746 0.746 0.746
Sc1 0.500 0.500 0.500
Tl1 0.126 0.126 0.126
Tl2 0.375 0.375 0.375
Tl3 0.625 0.625 0.625
Tl4 0.874 0.874 0.874

total DFT energy (no corrections) = -3.71 eV/atom
formation enthalpy at 0 K = -244 kJ/mol of formula units

=====

(3)
A plane-wave DFT calculation with PBE was carried out for crystalline Zr6Tl5Zn at its relaxed geometry.

Unit cell a=4.515 b=8.736 c=7.121 alpha=90.00 beta=108.39 gamma=90.00
Sites, in units of the cell vectors:
Zr1 0.000 0.243 0.000
Zr2 0.000 0.757 0.000
Zr3 0.335 0.243 0.670
Zr4 0.335 0.757 0.670
Zr5 0.665 0.243 0.330
Zr6 0.665 0.757 0.330
Tl1 0.161 0.000 0.322
Tl2 0.167 0.500 0.334
Tl3 0.500 0.500 0.000
Tl4 0.833 0.500 0.666
Tl5 0.839 0.000 0.678
Zn1 0.500 0.000 0.000

total DFT energy (no corrections) = -5.46 eV/atom
formation enthalpy at 0 K = -107 kJ/mol of formula units

=====

(4)
A plane-wave DFT calculation with PBE was carried out for crystalline BaCa2ZnRh at its relaxed geometry.

Unit cell a=5.489 b=5.489 c=6.005 alpha=90.00 beta=90.00 gamma=90.00
Sites, in units of the cell vectors:
Ba1 0.000 0.000 0.000
Ca1 0.000 0.500 0.500
Ca2 0.500 0.000 0.500
Zn1 0.500 0.500 0.000
Rh1 0.000 0.000 0.500

distance to the lowest polymorph of the same formula = 88 meV/atom
total DFT energy (no corrections) = -3.01 eV/atom
formation enthalpy at 0 K = -49 kJ/mol of formula units

=====

(5)
A plane-wave DFT calculation with PBE was carried out for crystalline BeCu2P at its relaxed geometry.

Unit cell a=3.527 b=3.527 c=7.327 alpha=90.00 beta=90.00 gamma=90.00
Sites, in units of the cell vectors:
Be1 0.000 0.000 0.000
Be2 0.500 0.500 0.500
Cu1 0.000 0.000 0.500
Cu2 0.000 0.500 0.250
Cu3 0.500 0.000 0.750
Cu4 0.500 0.500 0.000
P1 0.000 0.500 0.750
P2 0.500 0.000 0.250

distance to the lowest polymorph of the same formula = 40 meV/atom
total DFT energy (no corrections) = -4.25 eV/atom
formation enthalpy at 0 K = 31 kJ/mol of formula units

=====

(6)
A plane-wave DFT calculation with PBE was carried out for crystalline SrZnNi2 at its relaxed geometry.

Unit cell a=3.229 b=3.229 c=6.662 alpha=90.00 beta=90.00 gamma=90.00
Sites, in units of the cell vectors:
Sr1 0.000 0.000 0.000
Zn1 0.000 0.000 0.500
Ni1 0.500 0.500 0.321
Ni2 0.500 0.500 0.679

total DFT energy (no corrections) = -3.53 eV/atom
formation enthalpy at 0 K = 39 kJ/mol of formula units

=====

What did the second record say?
A plane-wave DFT calculation with PBE was carried out for crystalline LiSm2ScTl4 at its relaxed geometry.

Unit cell a=9.265 b=9.265 c=9.265 alpha=32.79 beta=32.79 gamma=32.79
Sites, in units of the cell vectors:
Li1 0.000 0.000 0.000
Sm1 0.254 0.254 0.254
Sm2 0.746 0.746 0.746
Sc1 0.500 0.500 0.500
Tl1 0.126 0.126 0.126
Tl2 0.375 0.375 0.375
Tl3 0.625 0.625 0.625
Tl4 0.874 0.874 0.874

total DFT energy (no corrections) = -3.71 eV/atom
formation enthalpy at 0 K = -244 kJ/mol of formula units